NpIrF PBE-GGA relaxed; total magnetization = 3.5 Bohr magnetons per cell; crystal system = orthorhombic; E_tot = -8.88 eV per atom; N(E_F) = 5.97 states/eV per cell
1.0
-3.491 -2.292 -1.161
-0.622 -2.024 -2.226
0.147 -5.999 3.305
Np Ir F
1 1 1
Direct
0.990 0.000 0.019
0.626 0.000 0.747
0.383 0.000 0.234

IrOF3 PBE-GGA relaxed; total magnetization = 1.6 Bohr magnetons per cell; crystal system = monoclinic; E_tot = -4.99 eV per atom; N(E_F) = 10.74 states/eV per cell
1.0
-5.081 2.695 -2.340
1.887 1.131 5.444
2.184 5.497 1.589
F Ir O
6 2 2
Direct
0.713 0.990 0.756
0.716 0.495 0.215
0.221 0.505 0.785
0.723 0.010 0.244
0.224 0.010 0.244
0.213 0.990 0.756
0.468 0.500 0.000
0.968 0.500 0.000
0.720 0.504 0.812
0.216 0.496 0.188

IrO2F2 PBE-GGA relaxed; total magnetization = 0.0 Bohr magnetons per cell; crystal system = tetragonal; E_tot = -5.02 eV per atom; N(E_F) = 4.56 states/eV per cell
1.0
3.736 0.000 0.000
0.000 3.736 0.000
0.000 0.000 4.102
F Ir O
2 1 2
Direct
0.500 0.500 0.500
0.000 0.000 0.500
0.000 0.000 0.000
0.500 0.000 0.000
0.000 0.500 0.000

Ir2OF4 PBE-GGA relaxed; total magnetization = 2.2 Bohr magnetons per cell; crystal system = tetragonal; E_tot = -3.92 eV per atom; N(E_F) = 6.27 states/eV per cell
1.0
4.570 0.000 0.000
0.000 4.570 0.000
2.285 2.285 6.089
F Ir O
4 2 1
Direct
0.746 0.746 0.508
0.000 0.500 0.000
0.500 0.000 0.000
0.254 0.254 0.492
0.588 0.588 0.824
0.412 0.412 0.176
0.000 0.000 0.000

Ir3OF PBE-GGA relaxed; total magnetization = 5.0 Bohr magnetons per cell; crystal system = cubic; E_tot = -4.57 eV per atom; N(E_F) = 8.61 states/eV per cell
1.0
-3.648 1.820 -1.298
-2.198 -3.371 1.452
-0.406 1.905 3.809
Ir O F
3 1 1
Direct
0.000 0.000 0.500
0.500 0.000 0.000
0.000 0.500 0.000
0.500 0.500 0.500
0.000 0.000 0.000

IrO2F2 PBE-GGA relaxed; total magnetization = 4.2 Bohr magnetons per cell; crystal system = tetragonal; E_tot = -3.19 eV per atom; N(E_F) = 4.50 states/eV per cell
1.0
-2.180 -1.955 2.056
-1.885 -0.939 -2.893
2.561 -3.437 -0.553
F O Ir
2 2 1
Direct
0.000 0.000 0.000
0.000 0.000 0.500
0.000 0.500 0.000
0.500 0.000 0.000
0.500 0.500 0.500

IrOF4 PBE-GGA relaxed; total magnetization = 3.7 Bohr magnetons per cell; crystal system = triclinic; E_tot = -4.65 eV per atom; N(E_F) = 14.52 states/eV per cell
1.0
5.344 0.212 -0.642
-0.448 4.474 -2.285
0.717 0.193 7.693
F Ir O
8 2 2
Direct
0.324 0.888 0.587
0.555 0.477 0.250
0.676 0.112 0.413
0.057 0.686 0.251
0.445 0.523 0.750
0.823 0.728 0.586
0.177 0.272 0.414
0.943 0.314 0.749
0.000 0.000 0.500
0.500 0.500 0.500
0.110 0.013 0.989
0.890 0.987 0.011

IrOF3 PBE-GGA relaxed; total magnetization = 2.8 Bohr magnetons per cell; crystal system = cubic; E_tot = -3.00 eV per atom; N(E_F) = 3.41 states/eV per cell
1.0
3.899 0.000 0.000
0.000 3.899 0.000
0.000 0.000 3.899
F Ir O
3 1 1
Direct
0.000 0.000 0.500
0.000 0.500 0.000
0.500 0.000 0.000
0.500 0.500 0.500
0.000 0.000 0.000

IrOF3 PBE-GGA relaxed; total magnetization = 0.3 Bohr magnetons per cell; crystal system = cubic; E_tot = -3.90 eV per atom; N(E_F) = 16.49 states/eV per cell
1.0
-0.308 3.715 1.497
-2.668 0.929 -2.855
-2.987 -1.213 2.396
Ir F O
1 3 1
Direct
0.000 0.000 0.000
0.000 0.000 0.500
0.500 0.000 0.000
0.000 0.500 0.000
0.500 0.500 0.500

Ir2O2F PBE-GGA relaxed; total magnetization = 0.0 Bohr magnetons per cell; crystal system = tetragonal; E_tot = -5.63 eV per atom; N(E_F) = 13.78 states/eV per cell
1.0
6.543 0.000 0.000
0.000 6.543 0.000
0.000 0.000 2.772
Ir F O
4 2 4
Direct
0.863 0.637 0.000
0.637 0.137 0.000
0.137 0.363 0.000
0.363 0.863 0.000
0.000 0.000 0.000
0.500 0.500 0.000
0.288 0.212 0.500
0.212 0.712 0.500
0.712 0.788 0.500
0.788 0.288 0.500

IrO2F2 PBE-GGA relaxed; total magnetization = 3.1 Bohr magnetons per cell; crystal system = tetragonal; E_tot = -3.38 eV per atom; N(E_F) = 5.08 states/eV per cell
1.0
-0.698 0.684 3.741
3.208 -1.937 0.953
1.928 3.092 -0.206
F O Ir
2 2 1
Direct
0.500 0.000 0.000
0.000 0.500 0.000
0.000 0.000 0.000
0.000 0.000 0.500
0.500 0.500 0.500

Ir2O2F PBE-GGA relaxed; total magnetization = 0.0 Bohr magnetons per cell; crystal system = tetragonal; E_tot = -6.11 eV per atom; N(E_F) = 5.35 states/eV per cell
1.0
4.077 0.000 0.000
0.000 4.077 0.000
2.039 2.039 3.490
Ir O F
2 2 1
Direct
0.324 0.324 0.352
0.676 0.676 0.648
0.750 0.250 0.500
0.250 0.750 0.500
0.000 0.000 0.000

IrOsO2F PBE-GGA relaxed; total magnetization = 4.0 Bohr magnetons per cell; crystal system = tetragonal; E_tot = -5.76 eV per atom; N(E_F) = 6.16 states/eV per cell
1.0
3.675 0.000 0.000
0.000 3.675 0.000
0.000 0.000 6.188
Os Ir O F
1 1 2 1
Direct
0.500 0.500 0.500
0.000 0.000 0.000
0.000 0.500 0.000
0.500 0.000 0.000
0.000 0.000 0.500

IrOsO2F PBE-GGA relaxed; total magnetization = 1.5 Bohr magnetons per cell; crystal system = tetragonal; E_tot = -6.54 eV per atom; N(E_F) = 3.22 states/eV per cell
1.0
-1.597 2.916 -1.575
-0.192 -2.592 -4.605
-3.311 -1.333 0.889
O F Os Ir
2 1 1 1
Direct
0.500 0.000 0.000
0.000 0.000 0.500
0.500 0.500 0.500
0.000 0.000 0.000
0.000 0.500 0.000

IrOsO2F PBE-GGA relaxed; total magnetization = 2.5 Bohr magnetons per cell; crystal system = tetragonal; E_tot = -4.69 eV per atom; N(E_F) = 7.46 states/eV per cell
1.0
4.031 0.000 0.000
0.000 3.797 0.000
0.000 0.000 4.031
Os O F Ir
1 2 1 1
Direct
0.000 0.500 0.000
0.500 0.000 0.000
0.000 0.000 0.500
0.000 0.000 0.000
0.500 0.500 0.500

IrOsO2F PBE-GGA relaxed; total magnetization = 2.4 Bohr magnetons per cell; crystal system = tetragonal; E_tot = -6.10 eV per atom; N(E_F) = 5.18 states/eV per cell
1.0
-2.744 -2.139 1.071
-0.372 -1.228 -3.407
4.304 -4.875 1.287
F Os O Ir
1 1 2 1
Direct
0.000 0.000 0.500
0.000 0.000 0.000
0.500 0.000 0.000
0.000 0.500 0.000
0.500 0.500 0.500

PIrOF2 PBE-GGA relaxed; total magnetization = 1.6 Bohr magnetons per cell; crystal system = tetragonal; E_tot = -4.60 eV per atom; N(E_F) = 3.53 states/eV per cell
1.0
4.451 0.000 0.000
0.000 4.451 0.000
0.000 0.000 3.705
F O P Ir
2 1 1 1
Direct
0.000 0.500 0.000
0.500 0.000 0.000
0.000 0.000 0.500
0.500 0.500 0.500
0.000 0.000 0.000

PIrOF2 PBE-GGA relaxed; total magnetization = 2.2 Bohr magnetons per cell; crystal system = tetragonal; E_tot = -4.51 eV per atom; N(E_F) = 6.66 states/eV per cell
1.0
4.487 0.000 0.000
0.000 4.487 0.000
0.000 0.000 3.367
F P O Ir
2 1 1 1
Direct
0.500 0.000 0.000
0.000 0.500 0.000
0.000 0.000 0.000
0.000 0.000 0.500
0.500 0.500 0.500

IrPbOF2 PBE-GGA relaxed; total magnetization = 0.0 Bohr magnetons per cell; crystal system = tetragonal; E_tot = -5.10 eV per atom; N(E_F) = 2.39 states/eV per cell
1.0
4.604 0.000 0.000
0.000 4.604 0.000
0.000 0.000 3.805
Pb O F Ir
1 1 2 1
Direct
0.500 0.500 0.500
0.000 0.000 0.500
0.000 0.500 0.000
0.500 0.000 0.000
0.000 0.000 0.000

IrPbOF2 PBE-GGA relaxed; total magnetization = 2.4 Bohr magnetons per cell; crystal system = tetragonal; E_tot = -4.24 eV per atom; N(E_F) = 11.28 states/eV per cell
1.0
-1.064 -0.628 4.393
3.061 -3.375 0.259
3.057 2.860 1.149
F Ir Pb O
2 1 1 1
Direct
0.500 0.000 0.000
0.000 0.500 0.000
0.500 0.500 0.500
0.000 0.000 0.000
0.000 0.000 0.500

IrPb2O4F PBE-GGA relaxed; total magnetization = 0.0 Bohr magnetons per cell; crystal system = monoclinic; E_tot = -5.86 eV per atom; N(E_F) = 2.28 states/eV per cell
1.0
-3.250 -0.191 0.705
-0.414 -2.255 5.351
-0.951 4.714 4.762
F O Pb Ir
1 4 2 1
Direct
0.500 0.500 0.500
0.152 0.999 0.696
0.591 0.771 0.048
0.409 0.229 0.952
0.848 0.001 0.304
0.191 0.303 0.314
0.809 0.697 0.686
0.000 0.000 0.000

IrPb2O2F4 PBE-GGA relaxed; total magnetization = 1.0 Bohr magnetons per cell; crystal system = monoclinic; E_tot = -5.22 eV per atom; N(E_F) = 3.29 states/eV per cell
1.0
-4.236 1.230 -0.004
-1.570 -3.912 4.143
-0.031 1.396 5.744
Ir F Pb O
1 4 2 2
Direct
0.500 0.000 0.000
0.734 0.334 0.813
0.266 0.666 0.187
0.266 0.187 0.666
0.734 0.813 0.334
0.264 0.695 0.695
0.736 0.305 0.305
0.708 0.822 0.822
0.292 0.178 0.178

IrPtO2F PBE-GGA relaxed; total magnetization = 0.9 Bohr magnetons per cell; crystal system = tetragonal; E_tot = -5.23 eV per atom; N(E_F) = 6.32 states/eV per cell
1.0
3.676 0.000 0.000
0.000 3.676 0.000
0.000 0.000 6.160
Pt O Ir F
1 2 1 1
Direct
0.500 0.500 0.500
0.000 0.500 0.000
0.500 0.000 0.000
0.000 0.000 0.000
0.000 0.000 0.500

IrPt2OF PBE-GGA relaxed; total magnetization = 2.6 Bohr magnetons per cell; crystal system = tetragonal; E_tot = -4.89 eV per atom; N(E_F) = 5.97 states/eV per cell
1.0
4.005 0.000 0.000
0.000 4.426 0.000
0.000 0.000 4.005
O F Ir Pt
1 1 1 2
Direct
0.000 0.000 0.000
0.000 0.500 0.000
0.500 0.500 0.500
0.000 0.000 0.500
0.500 0.000 0.000

IrPtO2F PBE-GGA relaxed; total magnetization = 3.5 Bohr magnetons per cell; crystal system = tetragonal; E_tot = -4.61 eV per atom; N(E_F) = 5.01 states/eV per cell
1.0
3.966 0.000 0.000
0.000 3.966 0.000
0.000 0.000 4.340
O Ir F Pt
2 1 1 1
Direct
0.000 0.500 0.000
0.500 0.000 0.000
0.500 0.500 0.500
0.000 0.000 0.500
0.000 0.000 0.000

IrPtOF2 PBE-GGA relaxed; total magnetization = 0.0 Bohr magnetons per cell; crystal system = tetragonal; E_tot = -4.63 eV per atom; N(E_F) = 13.86 states/eV per cell
1.0
4.375 0.000 0.000
0.000 4.375 0.000
0.000 0.000 3.701
Pt Ir O F
1 1 1 2
Direct
0.500 0.500 0.500
0.000 0.000 0.000
0.000 0.000 0.500
0.000 0.500 0.000
0.500 0.000 0.000

IrPtOF2 PBE-GGA relaxed; total magnetization = 2.8 Bohr magnetons per cell; crystal system = tetragonal; E_tot = -4.19 eV per atom; N(E_F) = 6.80 states/eV per cell
1.0
4.471 0.000 0.000
0.000 4.471 0.000
0.000 0.000 3.759
F Pt O Ir
2 1 1 1
Direct
0.500 0.000 0.000
0.000 0.500 0.000
0.000 0.000 0.000
0.000 0.000 0.500
0.500 0.500 0.500

RbIrO2F PBE-GGA relaxed; total magnetization = 3.1 Bohr magnetons per cell; crystal system = tetragonal; E_tot = -2.98 eV per atom; N(E_F) = 2.55 states/eV per cell
1.0
-0.583 0.498 4.281
-4.300 -0.363 -0.543
0.325 -4.744 0.596
Ir Rb O F
1 1 2 1
Direct
0.500 0.500 0.500
0.000 0.000 0.000
0.000 0.500 0.000
0.500 0.000 0.000
0.000 0.000 0.500